one.
A plane-wave DFT calculation with PBE was carried out for NaHo6Se8 after structural relaxation.

Cell: 7.582 7.582 7.582 Å, 68.90 68.90 68.90°
Fractional coordinates of all 15 atoms:
Na1 0.000 0.000 0.000
Ho1 0.085 0.458 0.695
Ho2 0.305 0.915 0.542
Ho3 0.458 0.695 0.085
Ho4 0.542 0.305 0.915
Ho5 0.695 0.085 0.458
Ho6 0.915 0.542 0.305
Se1 0.096 0.809 0.366
Se2 0.191 0.634 0.904
Se3 0.325 0.325 0.325
Se4 0.366 0.096 0.809
Se5 0.634 0.904 0.191
Se6 0.675 0.675 0.675
Se7 0.809 0.366 0.096
Se8 0.904 0.191 0.634

Summary:
As for the symmetry: R-3 (148).

---

two.
A plane-wave DFT calculation with PBE was carried out for NaHo6Se8 after structural relaxation.

Cell: 8.091 8.091 8.091 Å, 60.00 60.00 60.00°
Fractional coordinates of all 15 atoms:
Na1 0.000 0.000 0.000
Ho1 0.000 0.000 0.500
Ho2 0.000 0.500 0.000
Ho3 0.000 0.500 0.500
Ho4 0.500 0.000 0.000
Ho5 0.500 0.000 0.500
Ho6 0.500 0.500 0.000
Se1 0.250 0.250 0.250
Se2 0.255 0.255 0.745
Se3 0.255 0.745 0.255
Se4 0.255 0.745 0.745
Se5 0.745 0.255 0.255
Se6 0.745 0.255 0.745
Se7 0.745 0.745 0.255
Se8 0.750 0.750 0.750

Summary:
As for the symmetry: Fm-3m (225).

---

Top of the stability list: two, leading by 0.102 eV/atom.

---

one.
A plane-wave DFT calculation with PBE was carried out for NaSr2Ho after structural relaxation.

Cell: 3.906 3.906 11.235 Å, 90.00 90.00 90.00°
Fractional coordinates of all 4 atoms:
Na1 0.000 0.000 0.000
Sr1 0.500 0.500 0.258
Sr2 0.500 0.500 0.742
Ho1 0.000 0.000 0.500

Summary:
As for the symmetry: P4/mmm (123).

---

two.
A plane-wave DFT calculation with PBE was carried out for NaSr2Ho after structural relaxation.

Cell: 3.794 3.794 41.395 Å, 90.00 90.00 120.00°
Fractional coordinates of all 12 atoms:
Na1 0.000 0.000 0.000
Na2 0.333 0.667 0.667
Na3 0.667 0.333 0.333
Sr1 0.000 0.000 0.415
Sr2 0.000 0.000 0.585
Sr3 0.333 0.667 0.081
Sr4 0.333 0.667 0.252
Sr5 0.667 0.333 0.748
Sr6 0.667 0.333 0.919
Ho1 0.000 0.000 0.500
Ho2 0.333 0.667 0.167
Ho3 0.667 0.333 0.833

Summary:
As for the symmetry: R-3m (166).

---

Top of the stability list: one, leading by 0.193 eV/atom.

---

one.
A plane-wave DFT calculation with PBE was carried out for NaTbHo after structural relaxation.

Cell: 4.409 4.409 11.247 Å, 90.00 90.00 90.00°
Fractional coordinates of all 6 atoms:
Na1 0.250 0.250 0.086
Na2 0.750 0.750 0.914
Tb1 0.250 0.250 0.739
Tb2 0.750 0.750 0.261
Ho1 0.250 0.750 0.500
Ho2 0.750 0.250 0.500

Summary:
As for the symmetry: P4/nmm (129).

---

two.
A plane-wave DFT calculation with PBE was carried out for NaTbHo after structural relaxation.

Cell: 3.527 6.713 8.930 Å, 76.56 89.95 74.81°
Fractional coordinates of all 6 atoms:
Na1 0.138 0.227 0.020
Na2 0.862 0.773 0.980
Tb1 0.195 0.109 0.628
Tb2 0.805 0.891 0.372
Ho1 0.470 0.561 0.674
Ho2 0.530 0.439 0.326

Summary:
As for the symmetry: P-1 (2).

---

Top of the stability list: two, leading by 0.313 eV/atom.

---

one.
A plane-wave DFT calculation with PBE was carried out for NaTbHo after structural relaxation.

Cell: 3.484 3.484 16.237 Å, 90.00 90.00 90.00°
Fractional coordinates of all 6 atoms:
Na1 0.000 0.000 0.000
Na2 0.500 0.500 0.500
Tb1 0.000 0.000 0.677
Tb2 0.500 0.500 0.177
Ho1 0.000 0.000 0.325
Ho2 0.500 0.500 0.825

Summary:
As for the symmetry: I4mm (107).

---

two.
A plane-wave DFT calculation with PBE was carried out for NaTbHo after structural relaxation.

Cell: 3.528 3.528 9.134 Å, 90.00 90.00 120.00°
Fractional coordinates of all 3 atoms:
Na1 0.000 0.000 0.000
Tb1 0.333 0.667 0.649
Ho1 0.667 0.333 0.349

Summary:
As for the symmetry: P3m1 (156).

---

Top of the stability list: two, leading by 0.020 eV/atom.

---

one.
A plane-wave DFT calculation with PBE was carried out for NaHo2Tc after structural relaxation.

Cell: 3.451 3.451 9.086 Å, 90.00 90.00 90.00°
Fractional coordinates of all 4 atoms:
Na1 0.000 0.000 0.000
Ho1 0.500 0.500 0.323
Ho2 0.500 0.500 0.677
Tc1 0.000 0.000 0.500

Summary:
As for the symmetry: P4/mmm (123).

---

two.
A plane-wave DFT calculation with PBE was carried out for NaHo2Tc after structural relaxation.

Cell: 3.461 3.461 33.091 Å, 90.00 90.00 120.00°
Fractional coordinates of all 12 atoms:
Na1 0.000 0.000 0.000
Na2 0.333 0.667 0.667
Na3 0.667 0.333 0.333
Ho1 0.000 0.000 0.107
Ho2 0.000 0.000 0.893
Ho3 0.333 0.667 0.560
Ho4 0.333 0.667 0.774
Ho5 0.667 0.333 0.226
Ho6 0.667 0.333 0.440
Tc1 0.000 0.000 0.500
Tc2 0.333 0.667 0.167
Tc3 0.667 0.333 0.833

Summary:
As for the symmetry: R-3m (166).

---

Top of the stability list: one, leading by 0.238 eV/atom.

---

one.
A plane-wave DFT calculation with PBE was carried out for NaHo2Te3 after structural relaxation.

Cell: 4.209 12.280 7.466 Å, 90.00 90.00 90.00°
Fractional coordinates of all 12 atoms:
Na1 0.000 0.122 0.000
Na2 0.000 0.878 0.500
Ho1 0.000 0.211 0.506
Ho2 0.000 0.789 0.006
Ho3 0.500 0.495 0.506
Ho4 0.500 0.505 0.006
Te1 0.000 0.394 0.765
Te2 0.000 0.606 0.265
Te3 0.500 0.072 0.676
Te4 0.500 0.297 0.241
Te5 0.500 0.703 0.741
Te6 0.500 0.928 0.176

Summary:
As for the symmetry: Pmc2_1 (26).

---

two.
A plane-wave DFT calculation with PBE was carried out for NaHo2Te3 after structural relaxation.

Cell: 4.355 6.202 13.317 Å, 90.00 90.00 90.00°
Fractional coordinates of all 12 atoms:
Na1 0.000 0.000 0.000
Na2 0.500 0.500 0.500
Ho1 0.000 0.000 0.336
Ho2 0.000 0.000 0.664
Ho3 0.500 0.500 0.164
Ho4 0.500 0.500 0.836
Te1 0.000 0.500 0.000
Te2 0.000 0.500 0.328
Te3 0.000 0.500 0.672
Te4 0.500 0.000 0.172
Te5 0.500 0.000 0.500
Te6 0.500 0.000 0.828

Summary:
As for the symmetry: Immm (71).

---

Top of the stability list: two, leading by 0.096 eV/atom.

---

one.
A plane-wave DFT calculation with PBE was carried out for NaHoTl after structural relaxation.

Cell: 5.484 5.484 6.344 Å, 90.00 90.00 120.00°
Fractional coordinates of all 6 atoms:
Na1 0.000 0.000 0.000
Na2 0.000 0.000 0.500
Ho1 0.333 0.667 0.250
Ho2 0.667 0.333 0.750
Tl1 0.333 0.667 0.750
Tl2 0.667 0.333 0.250

Summary:
As for the symmetry: P6_3/mmc (194).

---

two.
A plane-wave DFT calculation with PBE was carried out for NaHoTl after structural relaxation.

Cell: 3.569 3.569 29.107 Å, 90.00 90.00 90.00°
Fractional coordinates of all 12 atoms:
Na1 0.000 0.000 0.060
Na2 0.000 0.000 0.940
Na3 0.500 0.500 0.440
Na4 0.500 0.500 0.560
Ho1 0.000 0.000 0.208
Ho2 0.000 0.000 0.792
Ho3 0.500 0.500 0.292
Ho4 0.500 0.500 0.708
Tl1 0.000 0.000 0.366
Tl2 0.000 0.000 0.634
Tl3 0.500 0.500 0.134
Tl4 0.500 0.500 0.866

Summary:
As for the symmetry: I4/mmm (139).

---

Top of the stability list: one, leading by 0.028 eV/atom.

---

one.
A plane-wave DFT calculation with PBE was carried out for NaHoTl after structural relaxation.

Cell: 5.288 5.288 3.389 Å, 90.00 90.00 120.00°
Fractional coordinates of all 3 atoms:
Na1 0.000 0.000 0.000
Ho1 0.333 0.667 0.504
Tl1 0.667 0.333 0.008

Summary:
As for the symmetry: P3m1 (156).

---

two.
A plane-wave DFT calculation with PBE was carried out for NaHoTl after structural relaxation.

Cell: 3.769 3.769 12.607 Å, 90.00 90.00 90.00°
Fractional coordinates of all 6 atoms:
Na1 0.000 0.000 0.000
Na2 0.500 0.500 0.500
Ho1 0.000 0.000 0.705
Ho2 0.500 0.500 0.205
Tl1 0.000 0.000 0.346
Tl2 0.500 0.500 0.846

Summary:
As for the symmetry: I4mm (107).

---

Top of the stability list: one, leading by 0.047 eV/atom.

---

one.
A plane-wave DFT calculation with PBE was carried out for NaHoTl2 after structural relaxation.

Cell: 3.634 3.634 30.586 Å, 90.00 90.00 120.00°
Fractional coordinates of all 12 atoms:
Na1 0.000 0.000 0.000
Na2 0.333 0.667 0.667
Na3 0.667 0.333 0.333
Ho1 0.000 0.000 0.167
Ho2 0.333 0.667 0.834
Ho3 0.667 0.333 0.500
Tl1 0.000 0.000 0.583
Tl2 0.000 0.000 0.751
Tl3 0.333 0.667 0.250
Tl4 0.333 0.667 0.417
Tl5 0.667 0.333 0.084
Tl6 0.667 0.333 0.916

Summary:
As for the symmetry: R3m (160).

---

two.
A plane-wave DFT calculation with PBE was carried out for NaHoTl2 after structural relaxation.

Cell: 7.531 7.531 7.531 Å, 90.00 90.00 90.00°
Fractional coordinates of all 16 atoms:
Na1 0.000 0.000 0.000
Na2 0.000 0.500 0.500
Na3 0.500 0.000 0.500
Na4 0.500 0.500 0.000
Ho1 0.000 0.000 0.500
Ho2 0.000 0.500 0.000
Ho3 0.500 0.000 0.000
Ho4 0.500 0.500 0.500
Tl1 0.250 0.250 0.250
Tl2 0.250 0.250 0.750
Tl3 0.250 0.750 0.250
Tl4 0.250 0.750 0.750
Tl5 0.750 0.250 0.250
Tl6 0.750 0.250 0.750
Tl7 0.750 0.750 0.250
Tl8 0.750 0.750 0.750

Summary:
As for the symmetry: Fm-3m (225).

---

three.
A plane-wave DFT calculation with PBE was carried out for NaHoTl2 after structural relaxation.

Cell: 3.609 3.609 31.041 Å, 90.00 90.00 120.00°
Fractional coordinates of all 12 atoms:
Na1 0.000 0.000 0.000
Na2 0.333 0.667 0.667
Na3 0.667 0.333 0.333
Ho1 0.000 0.000 0.500
Ho2 0.333 0.667 0.167
Ho3 0.667 0.333 0.833
Tl1 0.000 0.000 0.249
Tl2 0.000 0.000 0.751
Tl3 0.333 0.667 0.418
Tl4 0.333 0.667 0.916
Tl5 0.667 0.333 0.084
Tl6 0.667 0.333 0.582

Summary:
As for the symmetry: R-3m (166).

---

four.
A plane-wave DFT calculation with PBE was carried out for NaHoTl2 after structural relaxation.

Cell: 5.284 5.284 3.834 Å, 90.00 90.00 90.00°
Fractional coordinates of all 4 atoms:
Na1 0.000 0.000 0.000
Ho1 0.500 0.500 0.000
Tl1 0.000 0.500 0.500
Tl2 0.500 0.000 0.500

Summary:
As for the symmetry: P4/mmm (123).

---

Top of the stability list: four, leading by 0.025 eV/atom.

---

one.
A plane-wave DFT calculation with PBE was carried out for NaHoTm2 after structural relaxation.

Cell: 3.507 3.507 10.378 Å, 90.00 90.00 90.00°
Fractional coordinates of all 4 atoms:
Na1 0.000 0.000 0.000
Ho1 0.000 0.000 0.500
Tm1 0.500 0.500 0.272
Tm2 0.500 0.500 0.728

Summary:
As for the symmetry: P4/mmm (123).

---

two.
A plane-wave DFT calculation with PBE was carried out for NaHoTm2 after structural relaxation.

Cell: 3.456 3.456 37.686 Å, 90.00 90.00 120.00°
Fractional coordinates of all 12 atoms:
Na1 0.000 0.000 0.000
Na2 0.333 0.667 0.667
Na3 0.667 0.333 0.333
Ho1 0.000 0.000 0.500
Ho2 0.333 0.667 0.167
Ho3 0.667 0.333 0.833
Tm1 0.000 0.000 0.092
Tm2 0.000 0.000 0.908
Tm3 0.333 0.667 0.574
Tm4 0.333 0.667 0.759
Tm5 0.667 0.333 0.241
Tm6 0.667 0.333 0.426

Summary:
As for the symmetry: R-3m (166).

---

Top of the stability list: one, leading by 0.032 eV/atom.

---

one.
A plane-wave DFT calculation with PBE was carried out for HoNbNi2 after structural relaxation.

Cell: 3.207 3.207 6.585 Å, 90.00 90.00 90.00°
Fractional coordinates of all 4 atoms:
Ho1 0.000 0.000 0.000
Nb1 0.000 0.000 0.500
Ni1 0.500 0.500 0.300
Ni2 0.500 0.500 0.700

Summary:
As for the symmetry: P4/mmm (123).

---

two.
A plane-wave DFT calculation with PBE was carried out for HoNbNi2 after structural relaxation.

Cell: 4.255 4.255 13.947 Å, 90.00 90.00 120.00°
Fractional coordinates of all 12 atoms:
Ho1 0.000 0.000 0.000
Ho2 0.333 0.667 0.667
Ho3 0.667 0.333 0.333
Nb1 0.000 0.000 0.500
Nb2 0.333 0.667 0.167
Nb3 0.667 0.333 0.833
Ni1 0.000 0.000 0.204
Ni2 0.000 0.000 0.796
Ni3 0.333 0.667 0.463
Ni4 0.333 0.667 0.870
Ni5 0.667 0.333 0.130
Ni6 0.667 0.333 0.537

Summary:
As for the symmetry: R-3m (166).

---

Top of the stability list: two, leading by 0.024 eV/atom.

---

one.
A plane-wave DFT calculation with PBE was carried out for HoNbRu2 after structural relaxation.

Cell: 6.533 6.533 6.533 Å, 90.00 90.00 90.00°
Fractional coordinates of all 16 atoms:
Ho1 0.000 0.000 0.000
Ho2 0.000 0.500 0.500
Ho3 0.500 0.000 0.500
Ho4 0.500 0.500 0.000
Nb1 0.000 0.000 0.500
Nb2 0.000 0.500 0.000
Nb3 0.500 0.000 0.000
Nb4 0.500 0.500 0.500
Ru1 0.250 0.250 0.250
Ru2 0.250 0.250 0.750
Ru3 0.250 0.750 0.250
Ru4 0.250 0.750 0.750
Ru5 0.750 0.250 0.250
Ru6 0.750 0.250 0.750
Ru7 0.750 0.750 0.250
Ru8 0.750 0.750 0.750

Summary:
As for the symmetry: Fm-3m (225).

---

two.
A plane-wave DFT calculation with PBE was carried out for HoNbRu2 after structural relaxation.

Cell: 4.644 4.644 3.248 Å, 90.00 90.00 90.00°
Fractional coordinates of all 4 atoms:
Ho1 0.000 0.000 0.000
Nb1 0.500 0.500 0.000
Ru1 0.000 0.500 0.500
Ru2 0.500 0.000 0.500

Summary:
As for the symmetry: P4/mmm (123).

---

three.
A plane-wave DFT calculation with PBE was carried out for HoNbRu2 after structural relaxation.

Cell: 3.243 3.243 6.724 Å, 90.00 90.00 90.00°
Fractional coordinates of all 4 atoms:
Ho1 0.000 0.000 0.000
Nb1 0.000 0.000 0.500
Ru1 0.500 0.500 0.276
Ru2 0.500 0.500 0.724

Summary:
As for the symmetry: P4/mmm (123).

---

Top of the stability list: three, leading by 0.043 eV/atom.